VASP calculation (PBE-GGA) on a relaxed TiGaCu crystal.

The magnetization comes out at 0.00 μB/cell. As for the calculated total energy: -31.5 eV/cell. The density of states at the Fermi level comes out at 2.6 states/eV/f.u.

It has space group P-1 (No. 2), with a = 2.7943 Å, b = 4.8989 Å, c = 6.7840 Å, α = 75.58°, β = 89.76° and γ = 89.64°. Symmetry generates all atoms from Ti at (0.0029, 0.1032, 0.1832), Ga at (0.4996, 0.3857, 0.8337) and Cu at (0.4904, 0.2475, 0.4969).